Here is Li5Co2Ni5O12 at its PBEsol-relaxed geometry from Alexandria via LeMat-Bulk. Energies are from SCAN.

a = 4.892 Å, b = 8.568 Å, c = 9.438 Å
α = 90.00°, β = 100.33°, γ = 90.00°
Space group C2 (No. 5)
Symmetry-distinct sites (fractional):
Li  0.000  0.000  0.000 (multiplicity 2)
Li  0.244  0.168  0.244 (multiplicity 4)
Li  0.249  0.001  0.757 (multiplicity 4)
Co  0.000  0.336  0.000 (multiplicity 2)
Co  0.000  0.838  0.500 (multiplicity 2)
Ni  0.000  0.171  0.500 (multiplicity 2)
Ni  0.000  0.507  0.500 (multiplicity 2)
Ni  0.000  0.666  0.000 (multiplicity 2)
Ni  0.242  0.841  0.245 (multiplicity 4)
O  0.112  0.496  0.885 (multiplicity 4)
O  0.126  0.995  0.385 (multiplicity 4)
O  0.128  0.338  0.383 (multiplicity 4)
O  0.132  0.823  0.883 (multiplicity 4)
O  0.134  0.682  0.389 (multiplicity 4)
O  0.141  0.184  0.885 (multiplicity 4)

Properties
The calculated volume is 8.1 A^3/atom. As for the spin magnetization: 0.039 μB per atom. The formation energy (no corrections) comes out at -1.638 eV per atom.